Model a:
FeSiIrW: optimized geometry, PBE-GGA.

Lattice parameters (Å, degrees): 4.2734 4.2734 4.2734 60.00 60.00 60.00
Closest atoms and distances in Å follow each position.
Positions (direct):
Fe  0.0000  0.0000  0.0000  4 Ir 2.62, 4 Si 2.62
Si  0.7500  0.7500  0.7500  4 W 2.62, 4 Fe 2.62
Ir  0.2500  0.2500  0.2500  4 W 2.62, 4 Fe 2.62
W  0.5000  0.5000  0.5000  4 Ir 2.62, 4 Si 2.62

Magnetic moment, μB/f.u.: 1.7

***

Model b:
FeSiIrW: optimized geometry, PBE-GGA.

Lattice parameters (Å, degrees): 4.2669 4.2669 4.2669 60.00 60.00 60.00
Closest atoms and distances in Å follow each position.
Positions (direct):
Fe  0.0000  0.0000  0.0000  4 W 2.61, 4 Si 2.61
Si  0.7500  0.7500  0.7500  4 Fe 2.61, 4 Ir 2.61
Ir  0.5000  0.5000  0.5000  4 W 2.61, 4 Si 2.61
W  0.2500  0.2500  0.2500  4 Fe 2.61, 4 Ir 2.61

Magnetic moment, μB/f.u.: 2.4

***

Q: Which of them is the most stable? A: model b.

***

Model a:
TaTlFeIr: optimized geometry, PBE-GGA.

Lattice parameters (Å, degrees): 4.5180 4.5180 4.5180 60.00 60.00 60.00
Closest atoms and distances in Å follow each position.
Positions (direct):
Ta  0.0000  0.0000  0.0000  4 Fe 2.77, 4 Ir 2.77
Tl  0.5000  0.5000  0.5000  4 Fe 2.77, 4 Ir 2.77
Fe  0.7500  0.7500  0.7500  4 Tl 2.77, 4 Ta 2.77
Ir  0.2500  0.2500  0.2500  4 Tl 2.77, 4 Ta 2.77

Magnetic moment, μB/f.u.: 1.3

***

Model b:
TaTlFeIr: optimized geometry, PBE-GGA.

Lattice parameters (Å, degrees): 4.5702 4.5702 4.5702 60.00 60.00 60.00
Closest atoms and distances in Å follow each position.
Positions (direct):
Ta  0.0000  0.0000  0.0000  4 Tl 2.80, 4 Ir 2.80
Tl  0.2500  0.2500  0.2500  4 Fe 2.80, 4 Ta 2.80
Fe  0.5000  0.5000  0.5000  4 Tl 2.80, 4 Ir 2.80
Ir  0.7500  0.7500  0.7500  4 Fe 2.80, 4 Ta 2.80

Magnetic moment, μB/f.u.: 3.1

***

Q: Which of them is the most stable? A: model a.

***

Model a:
YTlFeIr: optimized geometry, PBE-GGA.

Lattice parameters (Å, degrees): 4.7997 4.7997 4.7997 60.00 60.00 60.00
Closest atoms and distances in Å follow each position.
Positions (direct):
Y  0.0000  0.0000  0.0000  4 Tl 2.94, 4 Ir 2.94
Tl  0.2500  0.2500  0.2500  4 Fe 2.94, 4 Y 2.94
Fe  0.5000  0.5000  0.5000  4 Tl 2.94, 4 Ir 2.94
Ir  0.7500  0.7500  0.7500  4 Fe 2.94, 4 Y 2.94

Magnetic moment, μB/f.u.: 3.5

***

Model b:
YTlFeIr: optimized geometry, PBE-GGA.

Lattice parameters (Å, degrees): 4.7475 4.7475 4.7475 60.00 60.00 60.00
Closest atoms and distances in Å follow each position.
Positions (direct):
Y  0.0000  0.0000  0.0000  4 Fe 2.91, 4 Ir 2.91
Tl  0.5000  0.5000  0.5000  4 Fe 2.91, 4 Ir 2.91
Fe  0.7500  0.7500  0.7500  4 Tl 2.91, 4 Y 2.91
Ir  0.2500  0.2500  0.2500  4 Tl 2.91, 4 Y 2.91

Magnetic moment, μB/f.u.: 2.3

***

Q: Which of them is the most stable? A: model b.

***

Model a:
YZnFeIr: optimized geometry, PBE-GGA.

Lattice parameters (Å, degrees): 4.6147 4.6147 4.6147 60.00 60.00 60.00
Closest atoms and distances in Å follow each position.
Positions (direct):
Y  0.0000  0.0000  0.0000  4 Ir 2.83, 4 Zn 2.83
Zn  0.2500  0.2500  0.2500  4 Fe 2.83, 4 Y 2.83
Fe  0.5000  0.5000  0.5000  4 Ir 2.83, 4 Zn 2.83
Ir  0.7500  0.7500  0.7500  4 Y 2.83, 4 Fe 2.83

Magnetic moment, μB/f.u.: 3.4

***

Model b:
YZnFeIr: optimized geometry, PBE-GGA.

Lattice parameters (Å, degrees): 4.5656 4.5656 4.5656 60.00 60.00 60.00
Closest atoms and distances in Å follow each position.
Positions (direct):
Y  0.0000  0.0000  0.0000  4 Fe 2.80, 4 Ir 2.80
Zn  0.5000  0.5000  0.5000  4 Fe 2.80, 4 Ir 2.80
Fe  0.7500  0.7500  0.7500  4 Zn 2.80, 4 Y 2.80
Ir  0.2500  0.2500  0.2500  4 Zn 2.80, 4 Y 2.80

Magnetic moment, μB/f.u.: 2.2

***

Q: Which of them is the most stable? A: model a.

***

Model a:
K2Fe: optimized geometry, PBE-GGA.

Lattice parameters (Å, degrees): 6.9580 6.9580 6.9580 60.00 60.00 60.00
Closest atoms and distances in Å follow each position.
Positions (direct):
K  0.0000  0.0000  0.0000  6 K 3.48
K  0.0000  0.0000  0.5000  6 K 3.48
K  0.0000  0.5000  0.0000  6 K 3.48
K  0.5000  0.0000  0.0000  6 K 3.48
Fe  0.3750  0.3750  0.3750  12 K 4.08, 4 Fe 4.26
Fe  0.6250  0.6250  0.6250  12 K 4.08, 4 Fe 4.26

Magnetic moment, μB/f.u.: 3.1

***

Model b:
K2Fe: optimized geometry, PBE-GGA.

Lattice parameters (Å, degrees): 10.3496 10.3496 10.3496 60.00 60.00 60.00
Closest atoms and distances in Å follow each position.
Positions (direct):
K  0.0000  0.0000  0.0000  2 Fe 3.17
K  0.0000  0.0000  0.5000  2 Fe 3.17
K  0.0000  0.5000  0.0000  2 Fe 3.17
K  0.5000  0.0000  0.0000  2 Fe 3.17
Fe  0.1250  0.1250  0.1250  4 K 3.17
Fe  0.8750  0.8750  0.8750  4 K 3.17

Magnetic moment, μB/f.u.: 3.8

***

Q: Which of them is the most stable? A: model a.

***

Model a:
KLaFeSe3: optimized geometry, PBE-GGA.

Lattice parameters (Å, degrees): 8.7267 4.2296 10.4334 90.00 105.96 90.00
Closest atoms and distances in Å follow each position.
Positions (direct):
K  0.2438  0.2500  0.2098  6 Se 3.31-3.52
K  0.7562  0.7500  0.7902  6 Se 3.31-3.52
La  0.1923  0.7500  0.6418  6 Se 2.97-3.11
La  0.8077  0.2500  0.3582  6 Se 2.97-3.11
Fe  0.4334  0.2500  0.9150  4 Se 2.42-2.56
Fe  0.5666  0.7500  0.0850  4 Se 2.42-2.56
Se  0.0462  0.7500  0.3491  3 La 2.97-2.99, 2 K 3.31
Se  0.2852  0.7500  0.9516  3 Fe 2.47-2.56
Se  0.4446  0.2500  0.6858  1 Fe 2.42
Se  0.5554  0.7500  0.3142  1 Fe 2.42
Se  0.7148  0.2500  0.0484  3 Fe 2.47-2.56
Se  0.9538  0.2500  0.6509  3 La 2.97-2.99, 2 K 3.31

Magnetic moment, μB/f.u.: 4.0

***

Model b:
KLaFeSe3: optimized geometry, PBE-GGA.

Lattice parameters (Å, degrees): 9.1915 9.1915 8.8644 104.50 104.50 27.81
Closest atoms and distances in Å follow each position.
Positions (direct):
K  0.1393  0.1393  0.0742  7 Se 3.26-3.53
K  0.8607  0.8607  0.9258  7 Se 3.26-3.53
La  0.1694  0.1694  0.5960  6 Se 2.92-3.03
La  0.8306  0.8306  0.4040  6 Se 2.92-3.03
Fe  0.4925  0.4925  0.2725  2 Se 2.45-2.56
Fe  0.5075  0.5075  0.7275  2 Se 2.45-2.56
Se  0.0000  0.0000  0.5000  2 La 2.92, 4 Fe 2.97
Se  0.3442  0.3442  0.1917  1 Fe 2.56
Se  0.3435  0.3435  0.6399  1 Fe 2.83, 3 La 3.01-3.03
Se  0.5000  0.5000  0.0000  2 Fe 2.45
Se  0.6565  0.6565  0.3601  1 Fe 2.83, 3 La 3.01-3.03
Se  0.6558  0.6558  0.8083  1 Fe 2.56

Magnetic moment, μB/f.u.: 4.0

***

Q: Which of them is the most stable? A: model a.

***

Model a:
KLaFeSe3: optimized geometry, PBE-GGA.

Lattice parameters (Å, degrees): 9.6811 4.3314 16.0433 90.00 90.00 90.00
Closest atoms and distances in Å follow each position.
Positions (direct):
K  0.0666  0.2500  0.1918  7 Se 3.36-3.46, 2 Fe 3.67
K  0.4334  0.7500  0.6918  7 Se 3.36-3.46, 2 Fe 3.67
K  0.5666  0.2500  0.3082  7 Se 3.36-3.46, 2 Fe 3.67
K  0.9334  0.7500  0.8082  7 Se 3.36-3.46, 2 Fe 3.67
La  0.1923  0.7500  0.4440  6 Se 2.90-3.09
La  0.3077  0.2500  0.9440  6 Se 2.90-3.09
La  0.6923  0.7500  0.0560  6 Se 2.90-3.09
La  0.8077  0.2500  0.5560  6 Se 2.90-3.09
Fe  0.1430  0.2500  0.6328  4 Se 2.36-2.54
Fe  0.3570  0.7500  0.1328  4 Se 2.36-2.54
Fe  0.6430  0.2500  0.8672  4 Se 2.36-2.54
Fe  0.8570  0.7500  0.3672  4 Se 2.36-2.54
Se  0.0153  0.7500  0.6043  2 Fe 2.54
Se  0.1626  0.7500  0.0375  1 Fe 2.42
Se  0.1929  0.2500  0.7767  1 Fe 2.36
Se  0.3071  0.7500  0.2767  1 Fe 2.36
Se  0.3374  0.2500  0.5375  1 Fe 2.42
Se  0.4847  0.2500  0.1043  2 Fe 2.54
Se  0.5153  0.7500  0.8957  2 Fe 2.54
Se  0.6626  0.7500  0.4625  1 Fe 2.42
Se  0.6929  0.2500  0.7233  1 Fe 2.36
Se  0.8071  0.7500  0.2233  1 Fe 2.36
Se  0.8374  0.2500  0.9625  1 Fe 2.42
Se  0.9847  0.2500  0.3957  2 Fe 2.54

Magnetic moment, μB/f.u.: 4.0

***

Model b:
KLaFeSe3: optimized geometry, PBE-GGA.

Lattice parameters (Å, degrees): 7.5925 7.5925 11.4558 90.00 90.00 147.26
Closest atoms and distances in Å follow each position.
Positions (direct):
K  0.2446  0.7554  0.7500  6 Se 3.41-3.43
K  0.7554  0.2446  0.2500  6 Se 3.41-3.43
La  0.5000  0.5000  0.0000  6 Se 3.00-3.01
La  0.5000  0.5000  0.5000  6 Se 3.00-3.01
Fe  0.0318  0.9682  0.2500  4 Se 2.43-2.54
Fe  0.9682  0.0318  0.7500  4 Se 2.43-2.54
Se  0.1302  0.8698  0.0788  1 Fe 2.43
Se  0.1302  0.8698  0.4212  1 Fe 2.43
Se  0.4374  0.5626  0.2500  2 Fe 2.54
Se  0.5626  0.4374  0.7500  2 Fe 2.54
Se  0.8698  0.1302  0.5788  1 Fe 2.43
Se  0.8698  0.1302  0.9212  1 Fe 2.43

Magnetic moment, μB/f.u.: 4.0

***

Q: Which of them is the most stable? A: model b.